The following is a DFT calculation (PBE) of crystalline TaSbMo4 at its relaxed geometry.

a b c (Å): 5.297 5.297 5.297
angles (deg): 60.00 60.00 60.00
Positions (direct):
Ta (0.000, 0.000, 0.000)
Mo (0.375, 0.375, 0.874)
Mo (0.375, 0.375, 0.375)
Mo (0.874, 0.375, 0.375)
Mo (0.375, 0.874, 0.375)
Sb (0.750, 0.750, 0.750)

## Properties
Its density of states at the Fermi level is 4.01 states/eV/f.u. Its calculated volume is 105 Å³ per cell. Its symmetry is F-43m. The uncorrected formation energy comes out at 0.228 eV/atom.